Record 1
An optimized crystal structure of Cr2CdRu, computed with PBE.

a b c (Å): 4.7608 4.7608 4.7805
angles (deg): 101.36 101.36 34.86
Last column: nearest neighbours and their distance in Å.
Sites, in units of the cell vectors:
Cr (0.2388, 0.2388, 0.1705)  2 Cr 2.21
Cr (0.7612, 0.7612, 0.8295)  2 Cr 2.21
Cd (0.0000, 0.0000, 0.5000)  4 Ru 2.78, 2 Cd 2.85, 6 Cr 2.93
Ru (0.5000, 0.5000, 0.0000)  6 Cr 2.58-2.66, 4 Cd 2.78, 2 Ru 2.85

Properties
The value obtained for the formation energy is 0.44 eV/atom.


Record 2
An optimized crystal structure of Mg2Cd8Ag3, computed with PBE.

a b c (Å): 7.4747 7.4747 5.3122
angles (deg): 104.00 104.00 85.28
Last column: nearest neighbours and their distance in Å.
Sites, in units of the cell vectors:
Mg (0.2088, 0.2088, 0.3695)  9 Cd 2.91-3.17, 1 Ag 3.05
Mg (0.7912, 0.7912, 0.6305)  9 Cd 2.91-3.17, 1 Ag 3.05
Cd (0.0710, 0.0710, 0.7932)  3 Mg 2.91-3.10, 2 Ag 2.92, 5 Cd 2.93-3.09
Cd (0.0969, 0.5890, 0.3512)  2 Mg 2.91-3.11, 2 Cd 2.93-2.97, 2 Ag 2.93-2.99
Cd (0.3560, 0.3560, 0.9472)  3 Ag 2.84-2.99, 2 Mg 2.96-3.17, 2 Cd 2.97-3.03
Cd (0.4110, 0.9031, 0.6488)  2 Mg 2.91-3.11, 2 Cd 2.93-2.97, 2 Ag 2.93-2.99
Cd (0.5890, 0.0969, 0.3512)  2 Mg 2.91-3.11, 2 Cd 2.93-2.97, 2 Ag 2.93-2.99
Cd (0.6440, 0.6440, 0.0528)  3 Ag 2.84-2.99, 2 Mg 2.96-3.17, 2 Cd 2.97-3.03
Cd (0.9031, 0.4110, 0.6488)  2 Mg 2.91-3.11, 2 Cd 2.93-2.97, 2 Ag 2.93-2.99
Cd (0.9290, 0.9290, 0.2068)  3 Mg 2.91-3.10, 2 Ag 2.92, 5 Cd 2.93-3.09
Ag (0.2452, 0.7548, 0.0000)  6 Cd 2.92-2.99
Ag (0.5000, 0.5000, 0.5000)  6 Cd 2.84-2.99, 2 Mg 3.05
Ag (0.7548, 0.2452, 0.0000)  6 Cd 2.92-2.99

Properties
The value obtained for the formation energy is 0.00 eV/atom.


Record 3
An optimized crystal structure of CaNi3, computed with PBE.

a b c (Å): 4.8486 4.8486 4.8486
angles (deg): 90.00 90.00 90.00
Last column: nearest neighbours and their distance in Å.
Sites, in units of the cell vectors:
Ca (0.0000, 0.0000, 0.0000)  6 Ni 2.42
Ni (0.0000, 0.0000, 0.5000)  2 Ca 2.42
Ni (0.0000, 0.5000, 0.0000)  2 Ca 2.42
Ni (0.5000, 0.0000, 0.0000)  2 Ca 2.42

Properties
The value obtained for the formation energy is 2.16 eV/atom.


Record 4
An optimized crystal structure of Ba2MgSe, computed with PBE.

a b c (Å): 7.2995 7.2995 7.2995
angles (deg): 141.04 141.04 56.28
Last column: nearest neighbours and their distance in Å.
Sites, in units of the cell vectors:
Ba (0.0000, 0.0000, 0.0000)  4 Se 3.44
Ba (0.7500, 0.2500, 0.5000)  4 Mg 3.44
Mg (0.2500, 0.7500, 0.5000)  4 Ba 3.44
Se (0.5000, 0.5000, 0.0000)  4 Ba 3.44

Properties
The energy relative to the elements, uncorrected comes out at -0.66 eV/atom.


Record 5
An optimized crystal structure of CoP2W, computed with PBE.

a b c (Å): 3.9113 3.9113 4.8799
angles (deg): 101.18 101.18 45.30
Last column: nearest neighbours and their distance in Å.
Sites, in units of the cell vectors:
Co (0.0000, 0.0000, 0.0000)  6 P 2.31-2.42
P (0.2514, 0.2514, 0.7755)  3 Co 2.31-2.42, 3 W 2.46-2.52
P (0.7486, 0.7486, 0.2245)  3 Co 2.31-2.42, 3 W 2.46-2.52
W (0.5000, 0.5000, 0.5000)  6 P 2.46-2.52

Properties
The value obtained for the formation energy is 0.02 eV/atom.


Record 6
An optimized crystal structure of Li3In2P3O12, computed with PBE.

a b c (Å): 9.3022 9.3022 9.3022
angles (deg): 55.42 55.42 55.42
Last column: nearest neighbours and their distance in Å.
Sites, in units of the cell vectors:
Li (0.1641, 0.7672, 0.4277)  4 O 1.95-2.18
Li (0.2328, 0.5723, 0.8359)  4 O 1.95-2.18
Li (0.4277, 0.1641, 0.7672)  4 O 1.95-2.18
Li (0.5723, 0.8359, 0.2328)  4 O 1.95-2.18
Li (0.7672, 0.4277, 0.1641)  4 O 1.95-2.18
Li (0.8359, 0.2328, 0.5723)  4 O 1.95-2.18
In (0.1543, 0.1543, 0.1543)  6 O 2.17-2.20
In (0.3536, 0.3536, 0.3536)  6 O 2.13-2.22
In (0.6464, 0.6464, 0.6464)  6 O 2.13-2.22
In (0.8457, 0.8457, 0.8457)  6 O 2.17-2.20
P (0.0486, 0.4541, 0.7504)  4 O 1.51-1.60
P (0.2496, 0.9514, 0.5459)  4 O 1.51-1.60
P (0.4541, 0.7504, 0.0486)  4 O 1.51-1.60
P (0.5459, 0.2496, 0.9514)  4 O 1.51-1.60
P (0.7504, 0.0486, 0.4541)  4 O 1.51-1.60
P (0.9514, 0.5459, 0.2496)  4 O 1.51-1.60
O (0.0022, 0.3427, 0.9644)  1 P 1.55
O (0.0356, 0.9978, 0.6573)  1 P 1.55
O (0.0572, 0.6430, 0.7043)  1 P 1.60
O (0.0966, 0.5046, 0.3084)  1 P 1.51
O (0.2499, 0.3479, 0.6381)  1 P 1.56
O (0.2957, 0.9428, 0.3570)  1 P 1.60
O (0.3084, 0.0966, 0.5046)  1 P 1.51
O (0.3427, 0.9644, 0.0022)  1 P 1.55
O (0.3479, 0.6381, 0.2499)  1 P 1.56
O (0.3570, 0.2957, 0.9428)  1 P 1.60
O (0.3619, 0.7501, 0.6521)  1 P 1.56
O (0.4954, 0.6916, 0.9034)  1 P 1.51
O (0.5046, 0.3084, 0.0966)  1 P 1.51
O (0.6381, 0.2499, 0.3479)  1 P 1.56
O (0.6430, 0.7043, 0.0572)  1 P 1.60
O (0.6521, 0.3619, 0.7501)  1 P 1.56
O (0.6573, 0.0356, 0.9978)  1 P 1.55
O (0.6916, 0.9034, 0.4954)  1 P 1.51
O (0.7043, 0.0572, 0.6430)  1 P 1.60
O (0.7501, 0.6521, 0.3619)  1 P 1.56
O (0.9034, 0.4954, 0.6916)  1 P 1.51
O (0.9428, 0.3570, 0.2957)  1 P 1.60
O (0.9644, 0.0022, 0.3427)  1 P 1.55
O (0.9978, 0.6573, 0.0356)  1 P 1.55

Properties
The energy relative to the elements, uncorrected comes out at -2.17 eV/atom.


Record 7
An optimized crystal structure of ZnCoPt4, computed with PBE.

a b c (Å): 5.2220 5.2220 5.2220
angles (deg): 60.00 60.00 60.00
Last column: nearest neighbours and their distance in Å.
Sites, in units of the cell vectors:
Zn (0.0000, 0.0000, 0.0000)  12 Pt 3.06, 4 Co 3.20
Co (0.7500, 0.7500, 0.7500)  12 Pt 3.06, 4 Zn 3.20
Pt (0.3750, 0.3750, 0.3750)  6 Pt 2.61
Pt (0.3750, 0.3750, 0.8750)  6 Pt 2.61
Pt (0.3750, 0.8750, 0.3750)  6 Pt 2.61
Pt (0.8750, 0.3750, 0.3750)  6 Pt 2.61

Properties
The value obtained for the formation energy is 0.21 eV/atom.


Record 8
An optimized crystal structure of BaZnCdPd, computed with PBE.

a b c (Å): 4.7426 4.7426 6.2130
angles (deg): 112.48 112.48 60.11
Last column: nearest neighbours and their distance in Å.
Sites, in units of the cell vectors:
Ba (0.0000, 0.0000, 0.0000)  1 Pd 3.17, 1 Zn 3.24
Zn (0.8060, 0.8060, 0.4189)  3 Cd 2.81, 3 Pd 2.86-2.87
Cd (0.5099, 0.5099, 0.5307)  3 Pd 2.75, 3 Zn 2.81
Pd (0.1891, 0.1891, 0.5691)  3 Cd 2.75, 3 Zn 2.86-2.87

Properties
The value obtained for the formation energy is -0.39 eV/atom.


Record 9
An optimized crystal structure of CsRbNaAu, computed with PBE.

a b c (Å): 5.2172 5.2172 9.5186
angles (deg): 105.96 105.96 60.02
Last column: nearest neighbours and their distance in Å.
Sites, in units of the cell vectors:
Cs (0.0000, 0.0000, 0.0000)  3 Au 3.88, 3 Na 3.96
Rb (0.8198, 0.8198, 0.4619)  3 Na 3.78, 3 Au 3.86
Na (0.5709, 0.5709, 0.7145)  3 Au 3.02
Au (0.2425, 0.2425, 0.7292)  3 Na 3.02

Properties
The value obtained for the formation energy is -0.17 eV/atom.


Record 10
An optimized crystal structure of GdDy2Ir, computed with PBE.

a b c (Å): 9.4927 9.4927 9.4927
angles (deg): 23.75 23.75 23.75
Last column: nearest neighbours and their distance in Å.
Sites, in units of the cell vectors:
Gd (0.0000, 0.0000, 0.0000)  6 Dy 3.78, 6 Gd 3.91
Dy (0.2236, 0.2236, 0.2236)  3 Ir 2.75
Dy (0.7764, 0.7764, 0.7764)  3 Ir 2.75
Ir (0.5000, 0.5000, 0.5000)  6 Dy 2.75

Properties
The value obtained for the formation energy is -0.33 eV/atom.


Record 11
An optimized crystal structure of LiCrRu2, computed with PBE.

a b c (Å): 2.9638 2.9638 5.9540
angles (deg): 90.00 90.00 90.00
Last column: nearest neighbours and their distance in Å.
Sites, in units of the cell vectors:
Li (0.0000, 0.0000, 0.0000)  4 Ru 2.50, 4 Cr 2.53
Cr (0.5000, 0.5000, 0.7625)  4 Li 2.53, 5 Ru 2.60-2.78
Ru (0.0000, 0.0000, 0.5027)  4 Cr 2.60, 4 Ru 2.65
Ru (0.5000, 0.5000, 0.2296)  4 Li 2.50, 4 Ru 2.65, 1 Cr 2.78

Properties
The value obtained for the formation energy is 0.34 eV/atom.


Record 12
An optimized crystal structure of SbTeI2Cl, computed with PBE.

a b c (Å): 5.8922 5.8922 6.0552
angles (deg): 90.00 90.00 90.00
Last column: nearest neighbours and their distance in Å.
Sites, in units of the cell vectors:
Sb (0.0000, 0.0000, 0.0000)  4 I 2.95, 2 Te 3.03
Te (0.0000, 0.0000, 0.5000)  2 Sb 3.03
I (0.0000, 0.5000, 0.0000)  2 Sb 2.95
I (0.5000, 0.0000, 0.0000)  2 Sb 2.95
Cl (0.5000, 0.5000, 0.5000)  4 Te 4.17, 8 I 4.22

Properties
The energy relative to the elements, uncorrected comes out at 0.24 eV/atom.


Please write out number 7 again, unchanged.
An optimized crystal structure of ZnCoPt4, computed with PBE.

a b c (Å): 5.2220 5.2220 5.2220
angles (deg): 60.00 60.00 60.00
Last column: nearest neighbours and their distance in Å.
Sites, in units of the cell vectors:
Zn (0.0000, 0.0000, 0.0000)  12 Pt 3.06, 4 Co 3.20
Co (0.7500, 0.7500, 0.7500)  12 Pt 3.06, 4 Zn 3.20
Pt (0.3750, 0.3750, 0.3750)  6 Pt 2.61
Pt (0.3750, 0.3750, 0.8750)  6 Pt 2.61
Pt (0.3750, 0.8750, 0.3750)  6 Pt 2.61
Pt (0.8750, 0.3750, 0.3750)  6 Pt 2.61

Properties
The value obtained for the formation energy is 0.21 eV/atom.